Record 1
First-principles (PBE) data for BaCr2P after structural relaxation, as listed in Alexandria.

The space group is P4mm (No. 99) and the conventional cell measures 3.327, 3.327 and 7.498 Å, with angles of 90.00, 90.00 and 90.00 degrees. The asymmetric unit holds Ba at (0.000, 0.000, 0.000), Cr at (0.000, 0.000, 0.549), Cr at (0.500, 0.500, 0.359) and P at (0.500, 0.500, 0.686).

As for the crystal system: tetragonal. The density of states at the Fermi level comes out at 3.79 states/eV/f.u. The value obtained for the formation energy is 201 meV per atom.

***

Record 2
First-principles (PBE) data for YBeMo2 after structural relaxation, as listed in Alexandria.

The space group is Pmmm (No. 47) and the conventional cell measures 3.445, 4.291 and 4.635 Å, with angles of 90.00, 90.00 and 90.00 degrees. The asymmetric unit holds Y at (0.000, 0.000, 0.000), Be at (0.500, 0.500, 0.000), Mo at (0.000, 0.500, 0.500) and Mo at (0.500, 0.000, 0.500).

As for the crystal system: orthorhombic. The density of states at the Fermi level comes out at 2.69 states/eV/f.u. The value obtained for the formation energy is 402 meV per atom.